Entry 1:
AsPt2Au: relaxed, PBE-GGA.

Results
Formation energy ... 0.6 kJ per mole of atoms
Space group ... No. 25

The structure in POSCAR format:
```
AsPt2Au
1.0
-1.035 -1.202 2.456
-0.200 -3.436 -1.765
5.674 -1.247 1.782
Au Pt As
1 2 1
Direct
0.500 0.500 0.766
0.500 0.500 0.270
0.000 0.000 0.016
0.000 0.000 0.449
```


Entry 2:
CsYAgSe3: relaxed, PBE-GGA.

Results
Formation energy (no corrections) ... -6.84 eV per formula unit
Space group ... No. 63

The structure in POSCAR format:
```
CsYAgSe3
1.0
4.171 0.000 0.000
-2.085 8.318 0.000
0.000 0.000 10.851
Se Cs Y Ag
6 2 2 2
Direct
0.617 0.235 0.454
0.934 0.869 0.250
0.066 0.131 0.750
0.383 0.765 0.546
0.617 0.235 0.046
0.383 0.765 0.954
0.749 0.498 0.750
0.251 0.502 0.250
0.000 0.000 0.500
0.000 0.000 0.000
0.466 0.932 0.750
0.534 0.068 0.250
```


Entry 3:
LaNd4Dy: relaxed, PBE-GGA.

Results
Polymorph energy (0 for the lowest one) ... 1.35 eV/f.u.
Formation energy ... 23.5 kJ per mole of atoms
Space group ... No. 216

The structure in POSCAR format:
```
LaNd4Dy
1.0
-1.828 1.182 -6.375
-6.308 -1.279 -1.988
-4.182 5.087 -1.416
Dy Nd La
1 4 1
Direct
0.000 0.000 0.000
0.626 0.626 0.626
0.122 0.626 0.626
0.626 0.626 0.122
0.626 0.122 0.626
0.250 0.250 0.250
```


Entry 4:
PmNi2Hg: relaxed, PBE-GGA.

Results
Formation energy ... -20.8 kJ per mole of atoms
Space group ... No. 166

The structure in POSCAR format:
```
PmNi2Hg
1.0
-2.748 3.488 0.297
-2.055 0.893 3.846
1.832 4.061 2.611
Pm Hg Ni
1 1 2
Direct
0.000 0.000 0.000
0.500 0.500 0.500
0.796 0.796 0.612
0.204 0.204 0.388
```


Entry 5:
HoPaReRh: relaxed, PBE-GGA.

Results
Formation energy ... -32.1 kJ per mole of atoms
Space group ... No. 216

The structure in POSCAR format:
```
HoPaReRh
1.0
-1.343 -4.030 -2.368
2.867 -3.928 0.065
-1.346 -3.952 2.495
Pa Re Rh Ho
1 1 1 1
Direct
0.500 0.500 0.500
0.250 0.250 0.250
0.750 0.750 0.750
0.000 0.000 0.000
```


Entry 6:
TbSmMgAg: relaxed, PBE-GGA.

Results
Polymorph energy (0 for the lowest one) ... 0.00 eV/f.u.
Formation energy ... -17.9 kJ per mole of atoms
Space group ... No. 99

The structure in POSCAR format:
```
TbSmMgAg
1.0
3.772 0.000 0.000
0.000 3.772 0.000
0.000 0.000 7.370
Ag Tb Mg Sm
1 1 1 1
Direct
0.500 0.500 0.616
0.000 0.000 0.848
0.500 0.500 0.101
0.000 0.000 0.363
```


Entry 7:
MnTlPdAu: relaxed, PBE-GGA.

Results
Formation energy ... 1.0 kJ per mole of atoms
Space group ... No. 216

The structure in POSCAR format:
```
MnTlPdAu
1.0
4.673 0.000 0.000
2.336 4.047 0.000
2.336 1.349 3.815
Pd Au Mn Tl
1 1 1 1
Direct
0.500 0.500 0.500
0.000 0.000 0.000
0.250 0.250 0.250
0.750 0.750 0.750
```


Entry 8:
PuHf4Sc5: relaxed, PBE-GGA.

Results
Formation energy ... 20.9 kJ per mole of atoms
Space group ... No. 12

The structure in POSCAR format:
```
PuHf4Sc5
1.0
-1.677 -2.494 -1.057
8.111 -4.982 -1.107
5.142 -4.542 7.362
Hf Sc Pu
4 5 1
Direct
0.324 0.849 0.648
0.035 0.204 0.069
0.676 0.151 0.352
0.965 0.796 0.931
0.500 0.500 0.000
0.843 0.500 0.687
0.177 0.826 0.355
0.823 0.174 0.645
0.157 0.500 0.313
0.500 0.000 0.000
```


Entry 9:
In3Ga2Hg: relaxed, PBE-GGA.

Results
Polymorph energy (0 for the lowest one) ... 0.09 eV/f.u.
Formation energy ... 4.8 kJ per mole of atoms
Space group ... No. 59

The structure in POSCAR format:
```
In3Ga2Hg
1.0
3.176 0.000 0.000
0.000 5.849 0.000
0.000 0.000 16.178
In Ga Hg
6 4 2
Direct
0.294 0.500 0.000
0.294 0.500 0.683
0.294 0.500 0.317
0.706 0.000 0.183
0.706 0.000 0.817
0.706 0.000 0.500
0.216 0.000 0.655
0.784 0.500 0.845
0.784 0.500 0.155
0.216 0.000 0.345
0.811 0.500 0.500
0.189 0.000 0.000
```


Entry 10:
LaZn2Ni4Ge: relaxed, PBE-GGA.

Results
Formation energy ... -27.2 kJ per mole of atoms
Space group ... No. 166

The structure in POSCAR format:
```
LaZn2Ni4Ge
1.0
-1.937 -2.504 2.585
-0.952 -3.800 -1.164
6.543 -4.881 3.405
Ni Zn Ge La
4 2 1 1
Direct
0.408 0.408 0.775
0.134 0.134 0.597
0.592 0.592 0.225
0.866 0.866 0.403
0.760 0.760 0.719
0.240 0.240 0.281
0.500 0.500 0.500
0.000 0.000 0.000
```


Entry 11:
Pr4In16Co3: relaxed, PBE-GGA.

Results
Formation energy ... -30.0 kJ per mole of atoms
Space group ... No. 123

The structure in POSCAR format:
```
Pr4In16Co3
1.0
-2.098 5.141 3.635
-5.595 0.235 -3.562
-5.389 -7.822 7.950
In Pr Co
16 4 3
Direct
0.272 0.728 0.000
0.250 0.250 0.384
0.728 0.272 0.000
0.750 0.750 0.384
0.728 0.728 0.000
0.272 0.272 0.000
0.750 0.750 0.616
0.250 0.250 0.616
0.000 0.000 0.790
0.500 0.500 0.195
0.750 0.250 0.616
0.750 0.250 0.384
0.500 0.500 0.805
0.000 0.000 0.210
0.250 0.750 0.616
0.250 0.750 0.384
0.000 0.500 0.804
0.500 0.000 0.804
0.000 0.500 0.196
0.500 0.000 0.196
0.500 0.000 0.500
0.000 0.500 0.500
0.000 0.000 0.000
```


Entry 12:
Sc4Ag2Rh: relaxed, PBE-GGA.

Results
Formation energy ... -31.5 kJ per mole of atoms
Space group ... No. 166

The structure in POSCAR format:
```
Sc4Ag2Rh
1.0
0.625 -4.346 -1.733
3.968 -1.066 -2.324
4.795 -3.950 5.204
Sc Ag Rh
4 2 1
Direct
0.625 0.625 0.125
0.375 0.375 0.875
0.876 0.876 0.371
0.124 0.124 0.629
0.748 0.748 0.755
0.252 0.252 0.245
0.000 0.000 0.000
```


Summary of calculated volume in Å³ per cell
68.7, 376.5, 216.2, 76.8, 81.4, 104.9, 72.1, 244.9, 300.5, 123.3, 545.6, 147.3
(order as listed above)
Summary of D(E_F) in states/eV/f.u.
2.0, 6.3, 10.4, 2.9, 2.0, 3.7, 1.9, 16.1, 1.2, 4.5, 6.5, 7.2
(order as listed above)